This record from Alexandria via LeMat-Bulk describes a geometry-optimized Ta2HgSb structure. The functional is PBE.

Cell lengths 9.818, 9.818, 9.818 Å; angles 18.12, 18.12, 18.12 degrees
Atoms (fractional coordinates):
Ta1 0.249 0.249 0.249
Ta2 0.751 0.751 0.751
Hg1 0.000 0.000 0.000
Sb1 0.500 0.500 0.500

* calculated volume: 20.00 Å³ per atom
* energy relative to the elements, uncorrected: 386.0 meV per atom
* polymorph energy (0 for the lowest one): 0.75 eV per formula unit